Record 1
TmZr2Sc7 | PBE | relaxed

Calculated values
formation enthalpy at 0 K = 0.035 eV per atom

Cell and atoms, written as CIF:
```
data_TmZr2Sc7
_cell_length_a 5.6290
_cell_length_b 6.5123
_cell_length_c 7.3127
_cell_angle_alpha 77.10
_cell_angle_beta 75.24
_cell_angle_gamma 73.00
_symmetry_space_group_name_H-M 'P -1'
_symmetry_Int_Tables_number 2
_symmetry_space_group_name_Hall '-P 1'
loop_
_atom_site_label
_atom_site_type_symbol
_atom_site_fract_x
_atom_site_fract_y
_atom_site_fract_z
_atom_site_occupancy
Tm1 Tm 0.0000 0.0000 0.0000 1
Zr1 Zr 0.1967 0.8046 0.5951 1
Sc1 Sc 0.0000 0.5000 0.0000 1
Sc2 Sc 0.1992 0.3010 0.5966 1
Sc3 Sc 0.3960 0.0994 0.2128 1
Sc4 Sc 0.4072 0.5942 0.2099 1
```

Record 2
CdSbPb2Au | PBE | relaxed

Calculated values
energy relative to the elements, uncorrected = 0.657 eV/atom

Cell and atoms, written as CIF:
```
data_CdSbPb2Au
_cell_length_a 5.6765
_cell_length_b 5.6765
_cell_length_c 5.3823
_cell_angle_alpha 90.00
_cell_angle_beta 90.00
_cell_angle_gamma 90.00
_symmetry_space_group_name_H-M 'P 4/m m m'
_symmetry_Int_Tables_number 123
_symmetry_space_group_name_Hall '-P 4 2'
loop_
_atom_site_label
_atom_site_type_symbol
_atom_site_fract_x
_atom_site_fract_y
_atom_site_fract_z
_atom_site_occupancy
Cd1 Cd 0.0000 0.0000 0.0000 1
Sb1 Sb 0.0000 0.0000 0.5000 1
Pb1 Pb 0.0000 0.5000 0.0000 1
Au1 Au 0.5000 0.5000 0.5000 1
```

Record 3
SrNdEr2Se4 | PBE | relaxed

Calculated values
energy relative to the elements, uncorrected = -1.804 eV/atom

Cell and atoms, written as CIF:
```
data_SrNdEr2Se4
_cell_length_a 7.2306
_cell_length_b 4.1370
_cell_length_c 7.2652
_cell_angle_alpha 90.00
_cell_angle_beta 108.93
_cell_angle_gamma 90.00
_symmetry_space_group_name_H-M 'P 1 2/m 1'
_symmetry_Int_Tables_number 10
_symmetry_space_group_name_Hall '-P 2y'
loop_
_atom_site_label
_atom_site_type_symbol
_atom_site_fract_x
_atom_site_fract_y
_atom_site_fract_z
_atom_site_occupancy
Sr1 Sr 0.0000 0.0000 0.0000 1
Nd1 Nd 0.5000 0.5000 0.0000 1
Er1 Er 0.0000 0.5000 0.5000 1
Er2 Er 0.5000 0.0000 0.5000 1
Se1 Se 0.2450 0.0000 0.7314 1
Se2 Se 0.2586 0.5000 0.2706 1
```

Record 4
Zn3ReC | PBE | relaxed

Calculated values
energy above the most stable polymorph in this dataset = 0 meV per atom
formation enthalpy at 0 K = 1.193 eV per atom

Cell and atoms, written as CIF:
```
data_Zn3ReC
_cell_length_a 4.1145
_cell_length_b 4.1145
_cell_length_c 4.1145
_cell_angle_alpha 90.00
_cell_angle_beta 90.00
_cell_angle_gamma 90.00
_symmetry_space_group_name_H-M 'P m -3 m'
_symmetry_Int_Tables_number 221
_symmetry_space_group_name_Hall '-P 4 2 3'
loop_
_atom_site_label
_atom_site_type_symbol
_atom_site_fract_x
_atom_site_fract_y
_atom_site_fract_z
_atom_site_occupancy
Zn1 Zn 0.0000 0.0000 0.5000 1
Re1 Re 0.5000 0.5000 0.5000 1
C1 C 0.0000 0.0000 0.0000 1
```

Record 5
LaHo5Er2 | PBE | relaxed

Calculated values
formation enthalpy at 0 K = 0.026 eV per atom

Cell and atoms, written as CIF:
```
data_LaHo5Er2
_cell_length_a 7.1077
_cell_length_b 14.2226
_cell_length_c 5.0067
_cell_angle_alpha 90.00
_cell_angle_beta 90.00
_cell_angle_gamma 90.00
_symmetry_space_group_name_H-M 'P b a m'
_symmetry_Int_Tables_number 55
_symmetry_space_group_name_Hall '-P 2 2ab'
loop_
_atom_site_label
_atom_site_type_symbol
_atom_site_fract_x
_atom_site_fract_y
_atom_site_fract_z
_atom_site_occupancy
La1 La 0.0000 0.0000 0.0000 1
Ho1 Ho 0.9999 0.2524 0.0000 1
Ho2 Ho 0.0000 0.5000 0.0000 1
Ho3 Ho 0.2484 0.3734 0.5000 1
Er1 Er 0.2487 0.6265 0.5000 1
```

Record 6
Y4HoCo2 | PBE | relaxed

Calculated values
formation enthalpy at 0 K = -0.062 eV per atom

Cell and atoms, written as CIF:
```
data_Y4HoCo2
_cell_length_a 7.0622
_cell_length_b 6.4208
_cell_length_c 8.6216
_cell_angle_alpha 90.00
_cell_angle_beta 112.65
_cell_angle_gamma 90.00
_symmetry_space_group_name_H-M 'P 1 21/m 1'
_symmetry_Int_Tables_number 11
_symmetry_space_group_name_Hall '-P 2yb'
loop_
_atom_site_label
_atom_site_type_symbol
_atom_site_fract_x
_atom_site_fract_y
_atom_site_fract_z
_atom_site_occupancy
Y1 Y 0.1755 0.2500 0.0052 1
Y2 Y 0.2075 0.9995 0.4237 1
Y3 Y 0.2713 0.7500 0.7938 1
Ho1 Ho 0.4838 0.7500 0.2186 1
Co1 Co 0.1308 0.2500 0.6665 1
Co2 Co 0.4732 0.2500 0.3535 1
```

Record 7
Pr2Nd3Pb | PBE | relaxed

Calculated values
formation enthalpy at 0 K = -0.190 eV per atom

Cell and atoms, written as CIF:
```
data_Pr2Nd3Pb
_cell_length_a 5.0091
_cell_length_b 15.8452
_cell_length_c 5.0235
_cell_angle_alpha 90.00
_cell_angle_beta 90.00
_cell_angle_gamma 90.00
_symmetry_space_group_name_H-M 'C m m m'
_symmetry_Int_Tables_number 65
_symmetry_space_group_name_Hall '-C 2 2'
loop_
_atom_site_label
_atom_site_type_symbol
_atom_site_fract_x
_atom_site_fract_y
_atom_site_fract_z
_atom_site_occupancy
Pr1 Pr 0.0000 0.1622 0.0000 1
Nd1 Nd 0.0000 0.0000 0.5000 1
Nd2 Nd 0.0000 0.3375 0.5000 1
Pb1 Pb 0.0000 0.5000 0.0000 1
```

Record 8
Li2ThAu2 | PBE | relaxed

Calculated values
formation enthalpy at 0 K = -0.532 eV per atom

Cell and atoms, written as CIF:
```
data_Li2ThAu2
_cell_length_a 3.9358
_cell_length_b 3.9358
_cell_length_c 13.4816
_cell_angle_alpha 90.00
_cell_angle_beta 90.00
_cell_angle_gamma 90.00
_symmetry_space_group_name_H-M 'I 4/m m m'
_symmetry_Int_Tables_number 139
_symmetry_space_group_name_Hall '-I 4 2'
loop_
_atom_site_label
_atom_site_type_symbol
_atom_site_fract_x
_atom_site_fract_y
_atom_site_fract_z
_atom_site_occupancy
Li1 Li 0.0000 0.5000 0.2500 1
Th1 Th 0.0000 0.0000 0.0000 1
Au1 Au 0.0000 0.0000 0.3915 1
```

Record 9
AlNi2SnRu | PBE | relaxed

Calculated values
formation enthalpy at 0 K = 0.968 eV per atom

Cell and atoms, written as CIF:
```
data_AlNi2SnRu
_cell_length_a 4.5283
_cell_length_b 4.5283
_cell_length_c 4.9420
_cell_angle_alpha 90.00
_cell_angle_beta 90.00
_cell_angle_gamma 90.00
_symmetry_space_group_name_H-M 'P 4/m m m'
_symmetry_Int_Tables_number 123
_symmetry_space_group_name_Hall '-P 4 2'
loop_
_atom_site_label
_atom_site_type_symbol
_atom_site_fract_x
_atom_site_fract_y
_atom_site_fract_z
_atom_site_occupancy
Al1 Al 0.0000 0.0000 0.0000 1
Ni1 Ni 0.0000 0.5000 0.5000 1
Sn1 Sn 0.5000 0.5000 0.0000 1
Ru1 Ru 0.5000 0.5000 0.5000 1
```

Record 10
Rb2SrAgF6 | PBE | relaxed

Calculated values
energy above the most stable polymorph in this dataset = 0 meV per atom
energy relative to the elements, uncorrected = -2.594 eV/atom

Cell and atoms, written as CIF:
```
data_Rb2SrAgF6
_cell_length_a 6.5825
_cell_length_b 6.6417
_cell_length_c 11.0211
_cell_angle_alpha 90.00
_cell_angle_beta 126.33
_cell_angle_gamma 90.00
_symmetry_space_group_name_H-M 'P 1 21/c 1'
_symmetry_Int_Tables_number 14
_symmetry_space_group_name_Hall '-P 2ybc'
loop_
_atom_site_label
_atom_site_type_symbol
_atom_site_fract_x
_atom_site_fract_y
_atom_site_fract_z
_atom_site_occupancy
Rb1 Rb 0.2401 0.0325 0.2493 1
Sr1 Sr 0.0000 0.0000 0.5000 1
Ag1 Ag 0.5000 0.0000 0.0000 1
F1 F 0.1817 0.2150 0.9637 1
F2 F 0.2459 0.7181 0.9609 1
F3 F 0.3393 0.0195 0.7685 1
```

Record 11
CdSb2Se | PBE | relaxed

Calculated values
energy above the most stable polymorph in this dataset = 279 meV per atom
energy relative to the elements, uncorrected = 0.119 eV/atom

Cell and atoms, written as CIF:
```
data_CdSb2Se
_cell_length_a 4.5222
_cell_length_b 5.7043
_cell_length_c 7.9407
_cell_angle_alpha 90.00
_cell_angle_beta 90.00
_cell_angle_gamma 90.00
_symmetry_space_group_name_H-M 'C m m 2'
_symmetry_Int_Tables_number 35
_symmetry_space_group_name_Hall 'C 2 -2'
loop_
_atom_site_label
_atom_site_type_symbol
_atom_site_fract_x
_atom_site_fract_y
_atom_site_fract_z
_atom_site_occupancy
Cd1 Cd 0.0000 0.0000 0.0000 1
Sb1 Sb 0.0000 0.0000 0.4598 1
Sb2 Sb 0.0000 0.5000 0.7233 1
Se1 Se 0.0000 0.5000 0.2058 1
```

Record 12
HfMn2AlP | PBE | relaxed

Calculated values
formation enthalpy at 0 K = 0.773 eV per atom

Cell and atoms, written as CIF:
```
data_HfMn2AlP
_cell_length_a 4.4439
_cell_length_b 4.4439
_cell_length_c 4.5616
_cell_angle_alpha 90.00
_cell_angle_beta 90.00
_cell_angle_gamma 90.00
_symmetry_space_group_name_H-M 'P 4/m m m'
_symmetry_Int_Tables_number 123
_symmetry_space_group_name_Hall '-P 4 2'
loop_
_atom_site_label
_atom_site_type_symbol
_atom_site_fract_x
_atom_site_fract_y
_atom_site_fract_z
_atom_site_occupancy
Hf1 Hf 0.0000 0.0000 0.0000 1
Mn1 Mn 0.0000 0.5000 0.5000 1
Al1 Al 0.5000 0.5000 0.5000 1
P1 P 0.5000 0.5000 0.0000 1
```